(1)
Here is a relaxed HoNbRu2 crystal from Alexandria via LeMat-Bulk. Energies are from GGA-PBE.

Cell: 3.248 4.644 4.644 Å, 90.00 90.00 90.00°
Element x y z (fractional)
Ru  0.000  0.500  0.000
Ru  0.000  0.000  0.500
Ho  0.500  0.500  0.500
Nb  0.500  0.000  0.000

Output
ΔH_f (0 K)   -114 kJ/mol of formula units
Excess energy over the best structure of this formula in the dataset   0.0798 eV per atom

=====

(2)
Here is a relaxed HoNbRu4 crystal from Alexandria via LeMat-Bulk. Energies are from GGA-PBE.

Cell: 5.217 5.217 5.217 Å, 60.00 60.00 60.00°
Element x y z (fractional)
Nb  0.250  0.250  0.250
Ru  0.625  0.625  0.625
Ru  0.625  0.125  0.625
Ru  0.625  0.625  0.125
Ru  0.125  0.625  0.625
Ho  0.000  0.000  0.000

Output
ΔH_f (0 K)   -74 kJ/mol of formula units

=====

(3)
Here is a relaxed HoNb5Ru6 crystal from Alexandria via LeMat-Bulk. Energies are from GGA-PBE.

Cell: 4.430 6.802 7.018 Å, 90.00 108.38 90.00°
Element x y z (fractional)
Ru  0.500  0.268  0.000
Ru  0.830  0.274  0.659
Ru  0.830  0.726  0.659
Ru  0.170  0.274  0.341
Ru  0.500  0.732  0.000
Ru  0.170  0.726  0.341
Nb  0.678  0.000  0.359
Nb  0.322  0.000  0.641
Nb  0.000  0.500  0.000
Nb  0.666  0.500  0.331
Nb  0.334  0.500  0.669
Ho  0.000  0.000  0.000

Output
ΔH_f (0 K)   -279 kJ/mol of formula units

=====

(4)
Here is a relaxed Ho2NbSi2Ru5 crystal from Alexandria via LeMat-Bulk. Energies are from GGA-PBE.

Cell: 3.235 10.051 10.051 Å, 90.00 90.00 90.00°
Element x y z (fractional)
Ru  0.500  0.292  0.568
Ru  0.500  0.708  0.432
Ru  0.500  0.068  0.792
Ru  0.500  0.932  0.208
Ru  0.500  0.208  0.068
Ru  0.500  0.792  0.932
Ru  0.500  0.568  0.708
Ru  0.500  0.432  0.292
Ru  0.500  0.500  0.000
Ru  0.500  0.000  0.500
Si  0.000  0.626  0.874
Si  0.000  0.126  0.626
Si  0.000  0.874  0.374
Si  0.000  0.374  0.126
Ho  0.000  0.673  0.173
Ho  0.000  0.327  0.827
Ho  0.000  0.173  0.327
Ho  0.000  0.827  0.673
Nb  0.000  0.000  0.000
Nb  0.000  0.500  0.500

Output
Formation energy without anion corrections   -0.66 eV/atom

=====

(5)
Here is a relaxed HoNbZnRu crystal from Alexandria via LeMat-Bulk. Energies are from GGA-PBE.

Cell: 4.692 4.692 4.692 Å, 60.00 60.00 60.00°
Element x y z (fractional)
Ru  0.750  0.750  0.750
Ho  0.500  0.500  0.500
Zn  0.250  0.250  0.250
Nb  0.000  0.000  0.000

Output
ΔH_f (0 K)   -49 kJ/mol of formula units

=====

(6)
Here is a relaxed HoNb6S8 crystal from Alexandria via LeMat-Bulk. Energies are from GGA-PBE.

Cell: 6.629 6.629 6.629 Å, 88.17 88.17 88.17°
Element x y z (fractional)
Nb  0.798  0.590  0.446
Nb  0.202  0.410  0.554
Nb  0.446  0.798  0.590
Nb  0.590  0.446  0.798
Nb  0.554  0.202  0.410
Nb  0.410  0.554  0.202
S  0.771  0.771  0.771
S  0.229  0.229  0.229
S  0.614  0.868  0.242
S  0.132  0.758  0.386
S  0.868  0.242  0.614
S  0.386  0.132  0.758
S  0.242  0.614  0.868
S  0.758  0.386  0.132
Ho  0.000  0.000  0.000

Output
Formation energy without anion corrections   -1.04 eV/atom

=====

(7)
Here is a relaxed HoNb4S8 crystal from Alexandria via LeMat-Bulk. Energies are from GGA-PBE.

Cell: 6.870 6.870 7.478 Å, 101.13 106.10 119.21°
Element x y z (fractional)
Nb  0.767  0.223  0.991
Nb  0.794  0.794  0.000
Nb  0.206  0.206  0.000
Nb  0.233  0.777  0.009
S  0.210  0.529  0.235
S  0.222  0.046  0.268
S  0.686  0.507  0.193
S  0.790  0.471  0.765
S  0.778  0.954  0.732
S  0.294  0.975  0.765
S  0.314  0.493  0.807
S  0.706  0.025  0.235
Ho  0.000  0.500  0.500

Output
Formation energy without anion corrections   -1.24 eV/atom

=====

(8)
Here is a relaxed Ho2NbS6 crystal from Alexandria via LeMat-Bulk. Energies are from GGA-PBE.

Cell: 6.212 6.212 11.621 Å, 90.00 90.00 90.00°
Element x y z (fractional)
S  0.306  0.306  0.350
S  0.194  0.806  0.850
S  0.694  0.694  0.650
S  0.806  0.194  0.850
S  0.194  0.806  0.150
S  0.694  0.694  0.350
S  0.214  0.786  0.500
S  0.286  0.286  0.000
S  0.306  0.306  0.650
S  0.786  0.214  0.500
S  0.714  0.714  0.000
S  0.806  0.194  0.150
Nb  0.500  0.500  0.500
Nb  0.000  0.000  0.000
Ho  0.500  0.500  0.171
Ho  0.000  0.000  0.329
Ho  0.500  0.500  0.829
Ho  0.000  0.000  0.671

Output
Formation energy without anion corrections   -1.27 eV/atom

=====

(9)
Here is a relaxed Ho2NbS crystal from Alexandria via LeMat-Bulk. Energies are from GGA-PBE.

Cell: 3.443 3.443 9.592 Å, 79.66 79.66 60.00°
Element x y z (fractional)
Nb  0.000  0.000  0.000
Ho  0.896  0.896  0.311
Ho  0.104  0.104  0.689
S  0.500  0.500  0.500

Output
Formation energy without anion corrections   -0.27 eV/atom

=====

(10)
Here is a relaxed Ho3NbTl3S8 crystal from Alexandria via LeMat-Bulk. Energies are from GGA-PBE.

Cell: 7.777 7.775 8.850 Å, 116.06 90.00 120.01°
Element x y z (fractional)
S  0.781  0.562  0.310
S  0.752  0.971  0.690
S  0.733  0.466  0.698
S  0.267  0.534  0.302
S  0.219  0.438  0.690
S  0.219  0.971  0.690
S  0.248  0.029  0.310
S  0.781  0.029  0.310
Nb  0.000  0.000  0.500
Tl  0.000  0.500  0.000
Tl  0.500  0.500  0.000
Tl  0.000  0.000  0.000
Ho  0.500  0.000  0.500
Ho  0.000  0.500  0.500
Ho  0.500  0.500  0.500

Output
Formation energy without anion corrections   -1.34 eV/atom

=====

(11)
Here is a relaxed HoNbSb crystal from Alexandria via LeMat-Bulk. Energies are from GGA-PBE.

Cell: 4.052 4.052 9.100 Å, 90.00 90.00 90.00°
Element x y z (fractional)
Sb  0.000  0.500  0.628
Sb  0.500  0.000  0.372
Nb  0.000  0.500  0.943
Nb  0.500  0.000  0.057
Ho  0.000  0.500  0.273
Ho  0.500  0.000  0.727

Output
Formation energy without anion corrections   -0.22 eV/atom

=====

(12)
Here is a relaxed HoScNb crystal from Alexandria via LeMat-Bulk. Energies are from GGA-PBE.

Cell: 3.129 3.129 7.644 Å, 101.81 101.81 90.00°
Element x y z (fractional)
Sc  0.315  0.315  0.629
Nb  0.672  0.672  0.344
Ho  0.013  0.013  0.027

Output
ΔH_f (0 K)   55 kJ/mol of formula units
Excess energy over the best structure of this formula in the dataset   0.0246 eV per atom

=====

> Which formula does entry 9 have?

Ho2NbS